DFT (PBE) results for an optimized crystal structure of Tb5CeSm.

It has space group C2/c (No. 15), with a = 14.9188 Å, b = 8.5770 Å, c = 10.3088 Å, α = 90.00°, β = 133.67° and γ = 90.00°. Symmetry generates all atoms from Tb at (0.0000, 0.2095, 0.2500), Tb at (0.2047, 0.4958, 0.9547), Tb at (0.2496, 0.2495, 0.2538), Ce at (0.0000, 0.5000, 0.0000) and Sm at (0.0000, 0.1984, 0.7500).

The size of the total moment comes out at 0.65 μB per formula unit. Its calculated formation energy is 0.248 eV per atom. The value obtained for the calculated volume is 954.1 Å³/cell. The value obtained for the electronic total energy is -4.581 eV/atom. As for the density of states at the Fermi level: 46.502 states/eV/cell.